NdMnClO2, relaxed, DFT GGA+U; Fermi-level density of states = 0.00 states/eV/f.u.; volume = 21.0 Å³/atom; total energy = -7.20 eV/atom; space-group type = P2_1/m, No. 11; ρ = 4.2 g cm⁻³
1.0
6.4360 0.0000 0.0000
0.0000 4.1496 0.0000
-0.8955 0.0000 7.8692
Nd Mn Cl O
2 2 2 4
direct
0.2003 0.2500 0.1263
0.7997 0.7500 0.8737
0.0636 0.2500 0.6387
0.9364 0.7500 0.3614
0.4490 0.2500 0.7987
0.5510 0.7500 0.2013
0.0407 0.7500 0.1159
0.0578 0.2500 0.3764
0.9422 0.7500 0.6236
0.9593 0.2500 0.8841